# ScRuCl

An optimized crystal structure of ScRuCl (PBE-GGA, Alexandria via LeMat-Bulk).

Results
Theoretical density, g/cm3: 5.55
Total moment, μB/atom: 0.000
Density of states at the Fermi level, states/eV/cell: 5.49
Energy above the lowest structure with this stoichiometry, eV per atom: 0.121
Formation energy without anion corrections, eV/atom: -0.4109

Cell lengths 11.345, 3.055, 3.139 Å; angles 90.00, 93.58, 90.00 degrees
Space group Cm (No. 8)
Symmetry-distinct sites (fractional):
Sc  0.000  0.000  0.000 x2
Ru  0.355  0.000  0.527 x2
Cl  0.161  0.500  0.547 x2


# CeDyTm

An optimized crystal structure of CeDyTm (PBE-GGA, Alexandria via LeMat-Bulk).

Results
Theoretical density, g/cm3: 8.29
Total moment, μB/atom: 0.003
Density of states at the Fermi level, states/eV/cell: 10.60
Calculated formation energy, meV/atom: 257
Energy above the lowest structure with this stoichiometry, eV per atom: 0.195

Cell lengths 4.753, 4.753, 8.363 Å; angles 90.00, 90.00, 90.00 degrees
Space group P4/nmm (No. 129, origin choice 2)
Symmetry-distinct sites (fractional):
Ce  0.250  0.750  0.000 x2
Dy  0.250  0.250  0.291 x2
Tm  0.250  0.250  0.700 x2


# TiZnRhSe2

An optimized crystal structure of TiZnRhSe2 (PBE-GGA, Alexandria via LeMat-Bulk).

Results
Theoretical density, g/cm3: 5.46
Total moment, μB/atom: 0.265
Density of states at the Fermi level, states/eV/cell: 5.30
Formation energy without anion corrections, eV/atom: 0.4017

Cell lengths 4.814, 4.814, 4.912 Å; angles 90.00, 90.00, 90.00 degrees
Space group P4/mmm (No. 123)
Symmetry-distinct sites (fractional):
Ti  0.000  0.000  0.000 x1
Zn  0.000  0.000  0.500 x1
Rh  0.500  0.500  0.500 x1
Se  0.000  0.500  0.000 x2


# ErBe4Cu8

An optimized crystal structure of ErBe4Cu8 (PBE-GGA, Alexandria via LeMat-Bulk).

Results
Theoretical density, g/cm3: 7.71
Total moment, μB/atom: 0.000
Density of states at the Fermi level, states/eV/cell: 9.19
Calculated formation energy, meV/atom: -156

Cell lengths 8.175, 8.175, 4.587 Å; angles 90.00, 90.00, 90.00 degrees
Space group I4/mmm (No. 139)
Symmetry-distinct sites (fractional):
Er  0.000  0.000  0.000 x2
Be  0.250  0.250  0.250 x8
Cu  0.000  0.223  0.500 x8
Cu  0.000  0.349  0.000 x8